Entry 1:
Below is a geometry-optimized VFeH structure, with properties calculated at the GGA-PBE level.

POSCAR file:
```
VFeH
1.0
1.328 0.767 8.653
-1.328 0.767 8.653
0.000 -1.534 8.653
V Fe H
2 2 2
Direct
0.221 0.221 0.221 V
0.779 0.779 0.779 V
0.370 0.370 0.370 Fe
0.630 0.630 0.630 Fe
0.147 0.147 0.147 H
0.853 0.853 0.853 H
```

Properties
- Total magnetization: 0.00 Bohr magnetons per cell
- E: -6.9455 eV per atom
- Symmetry: R-3m
- D(E_F): 6.61 states/eV/cell


Entry 2:
Below is a geometry-optimized Ca2CuPd2 structure, with properties calculated at the GGA-PBE level.

POSCAR file:
```
Ca2CuPd2
1.0
5.557 0.000 0.000
0.000 5.557 0.000
0.000 0.000 7.671
Ca Cu Pd
4 2 4
Direct
0.000 0.500 0.250 Ca
0.000 0.500 0.750 Ca
0.500 0.000 0.250 Ca
0.500 0.000 0.750 Ca
0.000 0.000 0.000 Cu
0.500 0.500 0.500 Cu
0.000 0.000 0.330 Pd
0.000 0.000 0.670 Pd
0.500 0.500 0.170 Pd
0.500 0.500 0.830 Pd
```

Properties
- Total magnetization: 0.00 Bohr magnetons per cell
- DFT formation energy: -299 meV/atom
- E: -3.9961 eV per atom
- Symmetry: I4/mmm
- D(E_F): 3.42 states/eV/cell